# PBE Zr2Ag2Pd3Au4, relaxed
# density	11.6	g/cm³
# calculated formation energy	-0.26	eV/atom
# M_tot	0.0	μB/f.u.
# electronic total energy	-54.32	eV/f.u.
data_Zr2Ag2Pd3Au4
_chemical_formula_sum 'Zr2 Ag2 Pd3 Au4'
_space_group_name_H-M_alt 'P -3 m 1'
_space_group_IT_number 164
_space_group_name_Hall '-P 3 2"'
_cell_length_a 4.6775
_cell_length_b 4.6775
_cell_length_c 11.3427
_cell_angle_alpha 90.00
_cell_angle_beta 90.00
_cell_angle_gamma 120.00
loop_
_atom_site_label
_atom_site_type_symbol
_atom_site_fract_x
_atom_site_fract_y
_atom_site_fract_z
Zr1 Zr 0.3333 0.6667 0.1057
Ag1 Ag 0.3333 0.6667 0.5962
Pd1 Pd 0.0000 0.0000 0.0000
Pd2 Pd 0.0000 0.0000 0.2479
Au1 Au 0.3333 0.6667 0.3516
Au2 Au 0.3333 0.6667 0.8537